# 1
GGA-PBE CaHPd3, relaxed; excess energy over the best structure of this formula in the dataset = 0.677 eV per atom; DFT total energy = -40.39 eV per cell; total magnetization = 0.000 Bohr magnetons per cell; SG = No. 38
1.0
2.9063 0.0000 0.0000
0.0000 5.3567 0.0000
0.0000 0.0000 13.4397
Ca H Pd
2 2 6
direct
0.0000 0.0000 0.0000 Ca
0.0000 0.5000 0.5000 Ca
0.5000 0.0000 0.6584 H
0.5000 0.5000 0.1584 H
0.0000 0.2485 0.1801 Pd
0.0000 0.2515 0.6801 Pd
0.0000 0.7485 0.6801 Pd
0.0000 0.7515 0.1801 Pd
0.5000 0.0000 0.8260 Pd
0.5000 0.5000 0.3260 Pd


# 2
GGA-PBE CaHPd3, relaxed; excess energy over the best structure of this formula in the dataset = 0.023 eV per atom; DFT total energy = -23.46 eV per cell; total magnetization = 0.000 Bohr magnetons per cell; SG = No. 221
1.0
4.1610 0.0000 0.0000
0.0000 4.1610 0.0000
0.0000 0.0000 4.1610
Ca H Pd
1 1 3
direct
0.0000 0.0000 0.0000 Ca
0.5000 0.5000 0.5000 H
0.0000 0.5000 0.5000 Pd
0.5000 0.0000 0.5000 Pd
0.5000 0.5000 0.0000 Pd


# 3
GGA-PBE CaHPd4, relaxed; DFT total energy = -27.48 eV per cell; total magnetization = 0.000 Bohr magnetons per cell; SG = No. 123
1.0
3.9359 0.0000 0.0000
0.0000 3.9359 0.0000
0.0000 0.0000 6.4806
Ca H Pd
1 1 4
direct
0.0000 0.0000 0.0000 Ca
0.5000 0.5000 0.5000 H
0.0000 0.5000 0.5000 Pd
0.5000 0.0000 0.5000 Pd
0.5000 0.5000 0.1991 Pd
0.5000 0.5000 0.8009 Pd


# 4
GGA-PBE CaH2Pd2, relaxed; excess energy over the best structure of this formula in the dataset = 0.171 eV per atom; DFT total energy = -41.37 eV per cell; total magnetization = 0.000 Bohr magnetons per cell; SG = No. 127
1.0
6.1992 0.0000 0.0000
0.0000 6.1992 0.0000
0.0000 0.0000 3.5991
Ca H Pd
2 4 4
direct
0.0000 0.0000 0.0000 Ca
0.5000 0.5000 0.0000 Ca
0.1501 0.3499 0.0000 H
0.3499 0.8499 0.0000 H
0.6501 0.1501 0.0000 H
0.8499 0.6501 0.0000 H
0.1552 0.3448 0.5000 Pd
0.3448 0.8448 0.5000 Pd
0.6552 0.1552 0.5000 Pd
0.8448 0.6552 0.5000 Pd


# 5
GGA-PBE CaHPd3, relaxed; excess energy over the best structure of this formula in the dataset = 0.282 eV per atom; DFT total energy = -44.33 eV per cell; total magnetization = 0.000 Bohr magnetons per cell; SG = No. 12
1.0
7.6529 -1.8713 0.0000
7.6529 1.8713 0.0000
-0.4386 0.0000 6.0219
Ca H Pd
2 2 6
direct
0.1119 0.1119 0.1919 Ca
0.8881 0.8881 0.8081 Ca
0.4297 0.4297 0.3232 H
0.5703 0.5703 0.6768 H
0.0661 0.0661 0.6787 Pd
0.2415 0.2415 0.8463 Pd
0.3165 0.3165 0.4492 Pd
0.6835 0.6835 0.5508 Pd
0.7585 0.7585 0.1537 Pd
0.9339 0.9339 0.3213 Pd


# 6
GGA-PBE CaH3Pd, relaxed; DFT total energy = -37.29 eV per cell; total magnetization = 0.000 Bohr magnetons per cell; SG = No. 12
1.0
5.8562 -1.7067 0.0000
5.8562 1.7067 0.0000
-1.8978 0.0000 5.8234
Ca H Pd
2 6 2
direct
0.1245 0.1245 0.2869 Ca
0.8755 0.8755 0.7131 Ca
0.0272 0.0272 0.5569 H
0.1106 0.1106 0.8950 H
0.3310 0.3310 0.4477 H
0.6690 0.6690 0.5523 H
0.8894 0.8894 0.1050 H
0.9728 0.9728 0.4431 H
0.3494 0.3494 0.1287 Pd
0.6506 0.6506 0.8713 Pd


# 7
GGA-PBE CaHPd2, relaxed; excess energy over the best structure of this formula in the dataset = 0.676 eV per atom; DFT total energy = -60.85 eV per cell; total magnetization = 0.000 Bohr magnetons per cell; SG = No. 225
1.0
6.3453 0.0000 0.0000
0.0000 6.3453 0.0000
0.0000 0.0000 6.3453
Ca H Pd
4 4 8
direct
0.0000 0.0000 0.0000 Ca
0.0000 0.5000 0.5000 Ca
0.5000 0.0000 0.5000 Ca
0.5000 0.5000 0.0000 Ca
0.0000 0.0000 0.5000 H
0.0000 0.5000 0.0000 H
0.5000 0.0000 0.0000 H
0.5000 0.5000 0.5000 H
0.2500 0.2500 0.2500 Pd
0.2500 0.2500 0.7500 Pd
0.2500 0.7500 0.2500 Pd
0.2500 0.7500 0.7500 Pd
0.7500 0.2500 0.2500 Pd
0.7500 0.2500 0.7500 Pd
0.7500 0.7500 0.2500 Pd
0.7500 0.7500 0.7500 Pd


# 8
GGA-PBE CaHPd3, relaxed; excess energy over the best structure of this formula in the dataset = 0.217 eV per atom; DFT total energy = -44.98 eV per cell; total magnetization = 0.000 Bohr magnetons per cell; SG = No. 74
1.0
-2.6928 3.6686 4.0531
2.6928 -3.6686 4.0531
2.6928 3.6686 -4.0531
Ca H Pd
2 2 6
direct
0.0000 0.0000 0.0000 Ca
0.5000 0.0000 0.5000 Ca
0.3454 0.5954 0.7500 H
0.6546 0.4046 0.2500 H
0.0796 0.6527 0.4269 Pd
0.2742 0.3473 0.9269 Pd
0.5000 0.0000 0.0000 Pd
0.5000 0.5000 0.5000 Pd
0.7258 0.6527 0.0731 Pd
0.9204 0.3473 0.5731 Pd


# 9
GGA-PBE Ca2H8Pd, relaxed; DFT total energy = -38.24 eV per cell; total magnetization = 0.000 Bohr magnetons per cell; SG = No. 12
1.0
6.8443 -1.9690 0.0000
6.8443 1.9690 0.0000
-1.3631 0.0000 4.1652
Ca H Pd
2 8 1
direct
0.1643 0.1643 0.1601 Ca
0.8357 0.8357 0.8399 Ca
0.0021 0.0021 0.4061 H
0.2363 0.2363 0.7311 H
0.3964 0.3964 0.1672 H
0.4132 0.4132 0.6975 H
0.5868 0.5868 0.3025 H
0.6036 0.6036 0.8328 H
0.7637 0.7637 0.2689 H
0.9979 0.9979 0.5939 H
0.5000 0.5000 0.5000 Pd


# 10
GGA-PBE CaH3Pd, relaxed; DFT total energy = -78.15 eV per cell; total magnetization = 0.000 Bohr magnetons per cell; SG = No. 15
1.0
3.8677 -4.8788 0.0000
3.8677 4.8788 0.0000
-2.1978 0.0000 5.9753
Ca H Pd
4 12 4
direct
0.0911 0.9089 0.7500 Ca
0.3285 0.6715 0.2500 Ca
0.6715 0.3285 0.7500 Ca
0.9089 0.0911 0.2500 Ca
0.0293 0.8024 0.3693 H
0.0791 0.5828 0.8788 H
0.1976 0.9707 0.1307 H
0.3113 0.3300 0.5008 H
0.3300 0.3113 0.0008 H
0.4172 0.9209 0.6212 H
0.5828 0.0791 0.3788 H
0.6700 0.6887 0.9992 H
0.6887 0.6700 0.4992 H
0.8024 0.0293 0.8693 H
0.9209 0.4172 0.1212 H
0.9707 0.1976 0.6307 H
0.1946 0.4381 0.6983 Pd
0.4381 0.1946 0.1983 Pd
0.5619 0.8054 0.8017 Pd
0.8054 0.5619 0.3017 Pd


Question: Look up the total magnetization of the eighth one.
Answer: 0.000 Bohr magnetons per cell


What did the second record say?
GGA-PBE CaHPd3, relaxed; excess energy over the best structure of this formula in the dataset = 0.023 eV per atom; DFT total energy = -23.46 eV per cell; total magnetization = 0.000 Bohr magnetons per cell; SG = No. 221
1.0
4.1610 0.0000 0.0000
0.0000 4.1610 0.0000
0.0000 0.0000 4.1610
Ca H Pd
1 1 3
direct
0.0000 0.0000 0.0000 Ca
0.5000 0.5000 0.5000 H
0.0000 0.5000 0.5000 Pd
0.5000 0.0000 0.5000 Pd
0.5000 0.5000 0.0000 Pd